Entry 1:
Density functional theory data (PBE) for a relaxed As2SeBrF crystal.

Properties
ΔE to the lowest computed polymorph: 0.555 eV per atom
E: -11.3 eV/cell
D(E_F): 5.0 states/eV/cell
V: 135 Å³/cell

a = 5.1798 Å, b = 5.1798 Å, c = 5.0483 Å
α = 90.00°, β = 90.00°, γ = 90.00°
Last column: nearest neighbours and their distance in Å.
Space group P4/mmm (No. 123)
One atom of each set of equivalent atoms:
1 As 0.0000 0.5000 0.0000 (multiplicity 2)  2 Br 2.59
2 Se 0.0000 0.0000 0.5000 (multiplicity 1)  2 Br 2.52
3 Br 0.0000 0.0000 0.0000 (multiplicity 1)  2 Se 2.52, 4 As 2.59
4 F 0.5000 0.5000 0.5000 (multiplicity 1)  8 As 3.62, 4 Se 3.66



Entry 2:
Density functional theory data (PBE) for a relaxed As2SeBrF crystal.

Properties
ΔE to the lowest computed polymorph: 0.000 eV per atom
E: -14.1 eV/cell
D(E_F): 4.2 states/eV/cell
V: 111 Å³/cell

a = 4.3464 Å, b = 4.3464 Å, c = 5.8509 Å
α = 90.00°, β = 90.00°, γ = 90.00°
Last column: nearest neighbours and their distance in Å.
Space group P4/mmm (No. 123)
One atom of each set of equivalent atoms:
1 As 0.0000 0.5000 0.0000 (multiplicity 2)  2 F 2.17
2 Se 0.0000 0.0000 0.5000 (multiplicity 1)  4 Br 3.07
3 Br 0.5000 0.5000 0.5000 (multiplicity 1)  2 F 2.93, 4 Se 3.07
4 F 0.5000 0.5000 0.0000 (multiplicity 1)  4 As 2.17



Entry 3:
Density functional theory data (PBE) for a relaxed As2SeBrF crystal.

Properties
ΔE to the lowest computed polymorph: 0.111 eV per atom
E: -13.5 eV/cell
D(E_F): 4.0 states/eV/cell
V: 137 Å³/cell

a = 5.1044 Å, b = 5.1044 Å, c = 5.2772 Å
α = 90.00°, β = 90.00°, γ = 90.00°
Last column: nearest neighbours and their distance in Å.
Space group P4/mmm (No. 123)
One atom of each set of equivalent atoms:
1 As 0.0000 0.5000 0.0000 (multiplicity 2)  2 Se 2.55
2 Se 0.0000 0.0000 0.0000 (multiplicity 1)  4 As 2.55, 2 Br 2.64
3 Br 0.0000 0.0000 0.5000 (multiplicity 1)  2 Se 2.64
4 F 0.5000 0.5000 0.5000 (multiplicity 1)  4 Br 3.61, 8 As 3.67



Number 1: ΔE_f (raw) 1.00 eV/atom. Number 2: ΔE_f (raw) 0.45 eV/atom. Number 3: ΔE_f (raw) 0.56 eV/atom.